# 1
# Pm6CN3, relaxed, DFT PBE
# E_tot = -70.5 eV per formula unit
# total magnetization = 0.000 μB per formula unit
data_Pm6CN3
_chemical_formula_sum 'Pm6 C1 N3'
_cell_length_a 7.013
_cell_length_b 7.013
_cell_length_c 7.013
_cell_angle_alpha 52.75
_cell_angle_beta 52.75
_cell_angle_gamma 52.75
_space_group_name_H-M_alt 'P 1'
_space_group_IT_number 1
_space_group_name_Hall 'P 1'
loop_
_atom_site_label
_atom_site_type_symbol
_atom_site_fract_x
_atom_site_fract_y
_atom_site_fract_z
Pm1 Pm 0.001 0.676 0.323
Pm2 Pm 0.178 0.508 0.814
Pm3 Pm 0.323 0.001 0.676
Pm4 Pm 0.508 0.814 0.178
Pm5 Pm 0.676 0.323 0.001
Pm6 Pm 0.814 0.178 0.508
C1 C 0.091 0.091 0.091
N1 N 0.411 0.411 0.411
N2 N 0.589 0.589 0.589
N3 N 0.912 0.912 0.912



# 2
# TmLuGa, relaxed, DFT PBE
# total magnetization = 0.000 μB per formula unit
# formation energy = -0.386 eV per atom
data_TmLuGa
_chemical_formula_sum 'Tm2 Lu2 Ga2'
_cell_length_a 3.399
_cell_length_b 3.399
_cell_length_c 12.806
_cell_angle_alpha 90.00
_cell_angle_beta 90.00
_cell_angle_gamma 90.00
_space_group_name_H-M_alt 'P 1'
_space_group_IT_number 1
_space_group_name_Hall 'P 1'
loop_
_atom_site_label
_atom_site_type_symbol
_atom_site_fract_x
_atom_site_fract_y
_atom_site_fract_z
Tm1 Tm 0.000 0.000 0.000
Tm2 Tm 0.500 0.500 0.500
Lu1 Lu 0.000 0.000 0.705
Lu2 Lu 0.500 0.500 0.205
Ga1 Ga 0.000 0.000 0.351
Ga2 Ga 0.500 0.500 0.851



# 3
# TcSnIrOsS, relaxed, DFT PBE
# E_tot = -37.4 eV per formula unit
# total magnetization = 0.000 μB per formula unit
data_TcSnIrOsS
_chemical_formula_sum 'Tc1 Sn1 Ir1 Os1 S1'
_cell_length_a 2.928
_cell_length_b 4.377
_cell_length_c 6.964
_cell_angle_alpha 79.31
_cell_angle_beta 77.94
_cell_angle_gamma 90.00
_space_group_name_H-M_alt 'P 1'
_space_group_IT_number 1
_space_group_name_Hall 'P 1'
loop_
_atom_site_label
_atom_site_type_symbol
_atom_site_fract_x
_atom_site_fract_y
_atom_site_fract_z
Tc1 Tc 0.000 0.000 0.000
Sn1 Sn 0.637 0.600 0.729
Ir1 Ir 0.205 0.149 0.591
Os1 Os 0.438 0.498 0.123
S1 S 0.844 0.130 0.312



# 4
# Be4SnAs3O12, relaxed, DFT PBE
# E_tot = -124.6 eV per formula unit
# total magnetization = 0.000 μB per formula unit
data_Be4SnAs3O12
_chemical_formula_sum 'Be4 Sn1 As3 O12'
_cell_length_a 6.234
_cell_length_b 6.234
_cell_length_c 6.234
_cell_angle_alpha 105.42
_cell_angle_beta 105.42
_cell_angle_gamma 105.42
_space_group_name_H-M_alt 'P 1'
_space_group_IT_number 1
_space_group_name_Hall 'P 1'
loop_
_atom_site_label
_atom_site_type_symbol
_atom_site_fract_x
_atom_site_fract_y
_atom_site_fract_z
Be1 Be 0.000 0.000 0.000
Be2 Be 0.000 0.434 0.566
Be3 Be 0.434 0.566 0.000
Be4 Be 0.566 0.000 0.434
Sn1 Sn 0.500 0.500 0.500
As1 As 0.057 0.943 0.500
As2 As 0.500 0.057 0.943
As3 As 0.943 0.500 0.057
O1 O 0.000 0.595 0.405
O2 O 0.000 0.841 0.159
O3 O 0.126 0.254 0.526
O4 O 0.159 0.000 0.841
O5 O 0.254 0.526 0.126
O6 O 0.405 0.000 0.595
O7 O 0.474 0.746 0.874
O8 O 0.526 0.126 0.254
O9 O 0.595 0.405 0.000
O10 O 0.746 0.874 0.474
O11 O 0.841 0.159 0.000
O12 O 0.874 0.474 0.746



# 5
# AsRuBr3, relaxed, DFT PBE
# E_tot = -14.9 eV per formula unit
# total magnetization = 3.183 μB per formula unit
data_AsRuBr3
_chemical_formula_sum 'As1 Ru1 Br3'
_cell_length_a 5.329
_cell_length_b 5.329
_cell_length_c 5.329
_cell_angle_alpha 90.00
_cell_angle_beta 90.00
_cell_angle_gamma 90.00
_space_group_name_H-M_alt 'P 1'
_space_group_IT_number 1
_space_group_name_Hall 'P 1'
loop_
_atom_site_label
_atom_site_type_symbol
_atom_site_fract_x
_atom_site_fract_y
_atom_site_fract_z
As1 As 0.000 0.000 0.000
Ru1 Ru 0.500 0.500 0.500
Br1 Br 0.000 0.000 0.500
Br2 Br 0.000 0.500 0.000
Br3 Br 0.500 0.000 0.000



# 6
# YCrGe2, relaxed, DFT PBE
# total magnetization = 3.272 μB per formula unit
# formation energy = -0.124 eV per atom
data_YCrGe2
_chemical_formula_sum 'Y4 Cr4 Ge8'
_cell_length_a 6.781
_cell_length_b 6.781
_cell_length_c 6.781
_cell_angle_alpha 90.00
_cell_angle_beta 90.00
_cell_angle_gamma 90.00
_space_group_name_H-M_alt 'P 1'
_space_group_IT_number 1
_space_group_name_Hall 'P 1'
loop_
_atom_site_label
_atom_site_type_symbol
_atom_site_fract_x
_atom_site_fract_y
_atom_site_fract_z
Y1 Y 0.000 0.000 0.000
Y2 Y 0.000 0.500 0.500
Y3 Y 0.500 0.000 0.500
Y4 Y 0.500 0.500 0.000
Cr1 Cr 0.000 0.000 0.500
Cr2 Cr 0.000 0.500 0.000
Cr3 Cr 0.500 0.000 0.000
Cr4 Cr 0.500 0.500 0.500
Ge1 Ge 0.250 0.250 0.250
Ge2 Ge 0.250 0.250 0.750
Ge3 Ge 0.250 0.750 0.250
Ge4 Ge 0.250 0.750 0.750
Ge5 Ge 0.750 0.250 0.250
Ge6 Ge 0.750 0.250 0.750
Ge7 Ge 0.750 0.750 0.250
Ge8 Ge 0.750 0.750 0.750



# 7
# Ca2AcSiN, relaxed, DFT PBE
# E_tot = -24.4 eV per formula unit
# total magnetization = 0.000 μB per formula unit
data_Ca2AcSiN
_chemical_formula_sum 'Ca4 Ac2 Si2 N2'
_cell_length_a 7.425
_cell_length_b 7.425
_cell_length_c 8.698
_cell_angle_alpha 90.00
_cell_angle_beta 90.00
_cell_angle_gamma 148.90
_space_group_name_H-M_alt 'P 1'
_space_group_IT_number 1
_space_group_name_Hall 'P 1'
loop_
_atom_site_label
_atom_site_type_symbol
_atom_site_fract_x
_atom_site_fract_y
_atom_site_fract_z
Ca1 Ca 0.157 0.843 0.558
Ca2 Ca 0.157 0.843 0.942
Ca3 Ca 0.843 0.157 0.058
Ca4 Ca 0.843 0.157 0.442
Ac1 Ac 0.456 0.544 0.750
Ac2 Ac 0.544 0.456 0.250
Si1 Si 0.233 0.767 0.250
Si2 Si 0.767 0.233 0.750
N1 N 0.000 0.000 0.000
N2 N 0.000 0.000 0.500



# 8
# Tb11Dy4Tm9, relaxed, DFT PBE
# total magnetization = 0.001 μB per formula unit
# formation energy = 0.054 eV per atom
data_Tb11Dy4Tm9
_chemical_formula_sum 'Tb11 Dy4 Tm9'
_cell_length_a 14.987
_cell_length_b 14.987
_cell_length_c 3.626
_cell_angle_alpha 90.00
_cell_angle_beta 90.00
_cell_angle_gamma 112.99
_space_group_name_H-M_alt 'P 1'
_space_group_IT_number 1
_space_group_name_Hall 'P 1'
loop_
_atom_site_label
_atom_site_type_symbol
_atom_site_fract_x
_atom_site_fract_y
_atom_site_fract_z
Tb1 Tb 0.000 0.000 0.000
Tb2 Tb 0.044 0.407 0.000
Tb3 Tb 0.160 0.840 0.000
Tb4 Tb 0.291 0.291 0.000
Tb5 Tb 0.367 0.633 0.000
Tb6 Tb 0.407 0.044 0.000
Tb7 Tb 0.593 0.956 0.000
Tb8 Tb 0.633 0.367 0.000
Tb9 Tb 0.709 0.709 0.000
Tb10 Tb 0.840 0.160 0.000
Tb11 Tb 0.956 0.593 0.000
Dy1 Dy 0.244 0.446 0.500
Dy2 Dy 0.446 0.244 0.500
Dy3 Dy 0.554 0.756 0.500
Dy4 Dy 0.756 0.554 0.500
Tm1 Tm 0.068 0.214 0.500
Tm2 Tm 0.164 0.632 0.500
Tm3 Tm 0.214 0.068 0.500
Tm4 Tm 0.368 0.836 0.500
Tm5 Tm 0.500 0.500 0.500
Tm6 Tm 0.632 0.164 0.500
Tm7 Tm 0.786 0.932 0.500
Tm8 Tm 0.836 0.368 0.500
Tm9 Tm 0.932 0.786 0.500



# 9
# Ac4Ga, relaxed, DFT PBE
# total magnetization = 0.000 μB per formula unit
# formation energy = -0.173 eV per atom
data_Ac4Ga
_chemical_formula_sum 'Ac8 Ga2'
_cell_length_a 9.809
_cell_length_b 9.809
_cell_length_c 4.095
_cell_angle_alpha 90.00
_cell_angle_beta 90.00
_cell_angle_gamma 90.00
_space_group_name_H-M_alt 'P 1'
_space_group_IT_number 1
_space_group_name_Hall 'P 1'
loop_
_atom_site_label
_atom_site_type_symbol
_atom_site_fract_x
_atom_site_fract_y
_atom_site_fract_z
Ac1 Ac 0.077 0.262 0.000
Ac2 Ac 0.238 0.577 0.500
Ac3 Ac 0.262 0.923 0.000
Ac4 Ac 0.423 0.238 0.500
Ac5 Ac 0.577 0.762 0.500
Ac6 Ac 0.738 0.077 0.000
Ac7 Ac 0.762 0.423 0.500
Ac8 Ac 0.923 0.738 0.000
Ga1 Ga 0.000 0.000 0.500
Ga2 Ga 0.500 0.500 0.000



# 10
# IrC2, relaxed, DFT PBE
# total magnetization = 0.000 μB per formula unit
# formation energy = 1.336 eV per atom
data_IrC2
_chemical_formula_sum 'Ir4 C8'
_cell_length_a 16.116
_cell_length_b 16.116
_cell_length_c 16.116
_cell_angle_alpha 170.68
_cell_angle_beta 170.68
_cell_angle_gamma 13.20
_space_group_name_H-M_alt 'P 1'
_space_group_IT_number 1
_space_group_name_Hall 'P 1'
loop_
_atom_site_label
_atom_site_type_symbol
_atom_site_fract_x
_atom_site_fract_y
_atom_site_fract_z
Ir1 Ir 0.312 0.562 0.750
Ir2 Ir 0.438 0.688 0.750
Ir3 Ir 0.562 0.312 0.250
Ir4 Ir 0.688 0.438 0.250
C1 C 0.012 0.262 0.750
C2 C 0.125 0.375 0.750
C3 C 0.262 0.012 0.250
C4 C 0.375 0.125 0.250
C5 C 0.625 0.875 0.750
C6 C 0.738 0.988 0.750
C7 C 0.875 0.625 0.250
C8 C 0.988 0.738 0.250



# 11
# Tb6ErSc2, relaxed, DFT PBE
# total magnetization = 0.001 μB per formula unit
# formation energy = 0.074 eV per atom
data_Tb6ErSc2
_chemical_formula_sum 'Tb12 Er2 Sc4'
_cell_length_a 11.642
_cell_length_b 11.642
_cell_length_c 5.511
_cell_angle_alpha 103.65
_cell_angle_beta 103.65
_cell_angle_gamma 48.32
_space_group_name_H-M_alt 'P 1'
_space_group_IT_number 1
_space_group_name_Hall 'P 1'
loop_
_atom_site_label
_atom_site_type_symbol
_atom_site_fract_x
_atom_site_fract_y
_atom_site_fract_z
Tb1 Tb 0.003 0.169 0.340
Tb2 Tb 0.080 0.580 0.080
Tb3 Tb 0.169 0.003 0.840
Tb4 Tb 0.330 0.498 0.667
Tb5 Tb 0.420 0.920 0.420
Tb6 Tb 0.498 0.330 0.167
Tb7 Tb 0.502 0.670 0.833
Tb8 Tb 0.580 0.080 0.580
Tb9 Tb 0.670 0.502 0.333
Tb10 Tb 0.831 0.997 0.160
Tb11 Tb 0.920 0.420 0.920
Tb12 Tb 0.997 0.831 0.660
Er1 Er 0.250 0.750 0.250
Er2 Er 0.750 0.250 0.750
Sc1 Sc 0.167 0.333 0.498
Sc2 Sc 0.333 0.167 0.998
Sc3 Sc 0.667 0.833 0.002
Sc4 Sc 0.833 0.667 0.502



# 12
# Th2Ge2Rh5, relaxed, DFT PBE
# total magnetization = 0.000 μB per formula unit
# formation energy = -0.645 eV per atom
data_Th2Ge2Rh5
_chemical_formula_sum 'Th2 Ge2 Rh5'
_cell_length_a 6.930
_cell_length_b 6.930
_cell_length_c 7.747
_cell_angle_alpha 122.58
_cell_angle_beta 122.58
_cell_angle_gamma 37.37
_space_group_name_H-M_alt 'P 1'
_space_group_IT_number 1
_space_group_name_Hall 'P 1'
loop_
_atom_site_label
_atom_site_type_symbol
_atom_site_fract_x
_atom_site_fract_y
_atom_site_fract_z
Th1 Th 0.110 0.110 0.314
Th2 Th 0.890 0.890 0.686
Ge1 Ge 0.391 0.391 0.177
Ge2 Ge 0.609 0.609 0.823
Rh1 Rh 0.167 0.167 0.010
Rh2 Rh 0.383 0.383 0.484
Rh3 Rh 0.500 0.500 0.000
Rh4 Rh 0.617 0.617 0.516
Rh5 Rh 0.833 0.833 0.990